Compound: K2Zr7Cl18
Source: the Alexandria database
Functional: meta-GGA SCAN
Structure: PBEsol geometry

POSCAR file:
```
K2Zr7Cl18
1.0
4.699 2.713 8.539
-4.699 2.713 8.539
0.000 -5.425 8.539
K Zr Cl
2 7 18
direct
0.223 0.223 0.223
0.777 0.777 0.777
0.099 0.836 0.214
0.164 0.786 0.901
0.214 0.099 0.836
0.500 0.500 0.500
0.786 0.901 0.164
0.836 0.214 0.099
0.901 0.164 0.786
0.059 0.353 0.928
0.072 0.941 0.647
0.136 0.288 0.570
0.212 0.640 0.481
0.288 0.570 0.136
0.353 0.928 0.059
0.360 0.519 0.788
0.430 0.864 0.712
0.481 0.212 0.640
0.519 0.788 0.360
0.570 0.136 0.288
0.640 0.481 0.212
0.647 0.072 0.941
0.712 0.430 0.864
0.788 0.360 0.519
0.864 0.712 0.430
0.928 0.059 0.353
0.941 0.647 0.072
```

Values from the calculation:
**Total magnetization**: 2.02 μB/f.u.
**Crystal system**: trigonal
**Space-group type**: R-3
**Uncorrected formation energy**: -1949 meV per atom